1.
## UGaCu (PBE)

Data for crystalline UGaCu at its relaxed geometry.

Values from the calculation:
- Raw total energy: -18.382 eV/f.u.
- Space group: No. 194

Structure (extended XYZ):
```
6
Lattice="4.645 0.000 0.000 -2.322 4.022 0.000 0.000 0.000 5.656" Properties=species:S:1:pos:R:3 pbc="T T T"
U 0.000 0.000 0.000
U 0.000 0.000 2.828
Ga 0.000 2.682 1.414
Ga 2.322 1.341 4.242
Cu 0.000 2.682 4.242
Cu 2.322 1.341 1.414
```

2.
## Ga2CuW (PBE)

Data for crystalline Ga2CuW at its relaxed geometry.

Values from the calculation:
- Raw total energy: -20.494 eV/f.u.
- Space group: No. 216

Structure (extended XYZ):
```
4
Lattice="0.000 3.110 3.110 3.110 0.000 3.110 3.110 3.110 0.000" Properties=species:S:1:pos:R:3 pbc="T T T"
Ga 0.000 0.000 0.000
Ga 1.555 1.555 1.555
Cu 4.665 4.665 4.665
W 3.110 3.110 3.110
```

3.
## GaCu2W (PBE)

Data for crystalline GaCu2W at its relaxed geometry.

Values from the calculation:
- Raw total energy: -21.808 eV/f.u.
- Space group: No. 216

Structure (extended XYZ):
```
4
Lattice="0.000 3.025 3.025 3.025 0.000 3.025 3.025 3.025 0.000" Properties=species:S:1:pos:R:3 pbc="T T T"
Ga 0.000 0.000 0.000
Cu 3.025 3.025 3.025
Cu 4.538 4.538 4.538
W 1.513 1.513 1.513
```

4.
## YGaCu (PBE)

Data for crystalline YGaCu at its relaxed geometry.

Values from the calculation:
- Raw total energy: -12.604 eV/f.u.
- Space group: No. 216

Structure (extended XYZ):
```
3
Lattice="0.000 3.287 3.287 3.287 0.000 3.287 3.287 3.287 0.000" Properties=species:S:1:pos:R:3 pbc="T T T"
Y 0.000 0.000 0.000
Ga 1.644 1.644 1.644
Cu 4.931 4.931 4.931
```